# KIrPb3 (PBE-GGA, relaxed)
# - SG: Pm-3m, No. 221
# - ΔE to the lowest computed polymorph: 0.00 eV per formula unit
# - V: 32.8 A^3/atom
# - E_tot: -3.966 eV per atom
# - Formation enthalpy at 0 K: 0.25 eV per atom
data_KIrPb3
_chemical_formula_sum 'K1 Ir1 Pb3'
_cell_length_a 5.473
_cell_length_b 5.473
_cell_length_c 5.473
_cell_angle_alpha 90.00
_cell_angle_beta 90.00
_cell_angle_gamma 90.00
_space_group_name_H-M_alt 'P 1'
_space_group_IT_number 1
loop_
_space_group_symop_operation_xyz
'x,y,z'
loop_
_atom_site_label
_atom_site_type_symbol
_atom_site_fract_x
_atom_site_fract_y
_atom_site_fract_z
_atom_site_occupancy
Pb1 Pb 0.000 0.500 0.000 1
Pb2 Pb 0.000 0.000 0.500 1
Pb3 Pb 0.500 0.000 0.000 1
K1 K 0.500 0.500 0.500 1
Ir1 Ir 0.000 0.000 0.000 1